A plane-wave DFT calculation with SCAN was carried out for ScRe2PPb at its PBEsol-relaxed geometry.

VASP energy: -46.532 eV per atom
crystal system: tetragonal

a b c (Å): 4.800 4.800 4.668
angles (deg): 90.00 90.00 90.00
Space group P4/mmm (No. 123)
Unique sites:
1 Sc 0.000 0.000 0.000 x1
2 Re 0.000 0.500 0.000 x2
3 P 0.000 0.000 0.500 x1
4 Pb 0.500 0.500 0.500 x1

A plane-wave DFT calculation with SCAN was carried out for YSc2Ta at its PBEsol-relaxed geometry.

VASP energy: -30.359 eV per atom
crystal system: cubic

a b c (Å): 7.113 7.113 7.113
angles (deg): 90.00 90.00 90.00
Space group F-43m (No. 216)
Unique sites:
1 Y 0.000 0.000 0.000 x4
2 Sc 0.000 0.000 0.500 x4
3 Sc 0.250 0.250 0.750 x4
4 Ta 0.250 0.250 0.250 x4